1.
The following is a meta-GGA SCAN calculation of a PBEsol-optimized structure of Sc2SiIr, from Alexandria.

The structure belongs to space group Pm (No. 6); the cell edges are 3.2507, 4.2145 and 5.3196 Å and the angles 90.00°, 107.70° and 90.00°. The asymmetric unit holds Sc at (0.0000, 0.0000, 0.0000), Sc at (0.3002, 0.5000, 0.6030), Si at (0.5805, 0.5000, 0.1614) and Ir at (0.7257, 0.0000, 0.4542).

The value obtained for the raw total energy is -28.3674 eV per atom.

2.
The following is a meta-GGA SCAN calculation of a PBEsol-optimized structure of MoRuCl2, from Alexandria.

The structure belongs to space group Immm (No. 71); the cell edges are 2.9838, 4.1650 and 12.9641 Å and the angles 90.00°, 90.00° and 90.00°. The asymmetric unit holds Mo at (0.0000, 0.0000, 0.0000), Ru at (0.0000, 0.0000, 0.5000) and Cl at (0.0000, 0.5000, 0.3496).

The value obtained for the raw total energy is -21.2072 eV per atom.

3.
The following is a meta-GGA SCAN calculation of a PBEsol-optimized structure of KCdPt2, from Alexandria.

The structure belongs to space group Imm2 (No. 44); the cell edges are 2.7609, 5.2287 and 11.1602 Å and the angles 90.00°, 90.00° and 90.00°. The asymmetric unit holds K at (0.0000, 0.0000, 0.0000), Cd at (0.0000, 0.5000, 0.7999), Pt at (0.0000, 0.0000, 0.5187) and Pt at (0.0000, 0.5000, 0.2204).

The value obtained for the raw total energy is -44.8262 eV per atom. The calculation puts the polymorph energy (0 for the lowest one) at 0.0000 eV/atom. Its energy of formation is -0.044 eV per atom.

4.
The following is a meta-GGA SCAN calculation of a PBEsol-optimized structure of BaTlHg2W, from Alexandria.

The structure belongs to space group P4/mmm (No. 123); the cell edges are 5.3228, 5.3228 and 5.5394 Å and the angles 90.00°, 90.00° and 90.00°. The asymmetric unit holds Ba at (0.0000, 0.0000, 0.0000), Tl at (0.5000, 0.5000, 0.0000), Hg at (0.0000, 0.5000, 0.5000) and W at (0.0000, 0.0000, 0.5000).

The value obtained for the raw total energy is -62.8258 eV per atom. Its energy of formation is 0.760 eV per atom.

5.
The following is a meta-GGA SCAN calculation of a PBEsol-optimized structure of Ir2RhBr, from Alexandria.

The structure belongs to space group P4mm (No. 99); the cell edges are 2.8126, 2.8126 and 7.7453 Å and the angles 90.00°, 90.00° and 90.00°. The asymmetric unit holds Ir at (0.0000, 0.0000, 0.0000), Ir at (0.5000, 0.5000, 0.2280), Rh at (0.0000, 0.0000, 0.4607) and Br at (0.5000, 0.5000, 0.7177).

The value obtained for the raw total energy is -48.1615 eV per atom. The calculation puts the polymorph energy (0 for the lowest one) at 0.0723 eV/atom.

6.
The following is a meta-GGA SCAN calculation of a PBEsol-optimized structure of BiSeI2, from Alexandria.

The structure belongs to space group Fm-3m (No. 225); the cell edges are 7.6426, 7.6426 and 7.6426 Å and the angles 90.00°, 90.00° and 90.00°. The asymmetric unit holds Bi at (0.0000, 0.0000, 0.0000), Se at (0.0000, 0.0000, 0.5000) and I at (0.2500, 0.2500, 0.2500).

The value obtained for the raw total energy is -42.6105 eV per atom.

7.
The following is a meta-GGA SCAN calculation of a PBEsol-optimized structure of Cd5Cu3, from Alexandria.

The structure belongs to space group I4/mcm (No. 140); the cell edges are 10.2184, 10.2184 and 5.1470 Å and the angles 90.00°, 90.00° and 90.00°. The asymmetric unit holds Cd at (0.0000, 0.5000, 0.2500), Cd at (0.0773, 0.2216, 0.0000), Cu at (0.0000, 0.0000, 0.2500) and Cu at (0.1687, 0.3313, 0.5000).

The value obtained for the raw total energy is -24.6397 eV per atom. The calculation puts the polymorph energy (0 for the lowest one) at 0.0101 eV/atom. Its energy of formation is 0.069 eV per atom.

8.
The following is a meta-GGA SCAN calculation of a PBEsol-optimized structure of TaNiAs2, from Alexandria.

The structure belongs to space group Imm2 (No. 44); the cell edges are 3.3731, 3.5233 and 10.3807 Å and the angles 90.00°, 90.00° and 90.00°. The asymmetric unit holds Ta at (0.0000, 0.0000, 0.0000), Ni at (0.0000, 0.5000, 0.7313), As at (0.0000, 0.0000, 0.4108) and As at (0.0000, 0.5000, 0.1822).

The value obtained for the raw total energy is -30.9538 eV per atom. Its energy of formation is -0.169 eV per atom.

9.
The following is a meta-GGA SCAN calculation of a PBEsol-optimized structure of KCd2In2, from Alexandria.

The structure belongs to space group I4/mmm (No. 139); the cell edges are 4.7824, 4.7824 and 12.1942 Å and the angles 90.00°, 90.00° and 90.00°. The asymmetric unit holds K at (0.0000, 0.0000, 0.0000), Cd at (0.0000, 0.5000, 0.2500) and In at (0.0000, 0.0000, 0.3831).

The value obtained for the raw total energy is -27.3487 eV per atom. The calculation puts the polymorph energy (0 for the lowest one) at 0.0000 eV/atom. Its energy of formation is -0.163 eV per atom.

10.
The following is a meta-GGA SCAN calculation of a PBEsol-optimized structure of K2TcPt, from Alexandria.

The structure belongs to space group Pm (No. 6); the cell edges are 2.7940, 4.0383 and 10.0243 Å and the angles 90.00°, 91.11° and 90.00°. The asymmetric unit holds K at (0.0000, 0.0000, 0.0000), K at (0.4509, 0.5000, 0.4322), Tc at (0.4755, 0.5000, 0.7498) and Pt at (0.9694, 0.0000, 0.6701).

The value obtained for the raw total energy is -30.1184 eV per atom. The calculation puts the polymorph energy (0 for the lowest one) at 0.0000 eV/atom. Its energy of formation is 0.359 eV per atom.

11.
The following is a meta-GGA SCAN calculation of a PBEsol-optimized structure of SrCaY, from Alexandria.

The structure belongs to space group P3m1 (No. 156); the cell edges are 6.0499, 6.0499 and 3.6271 Å and the angles 90.00°, 90.00° and 120.00°. The asymmetric unit holds Sr at (0.0000, 0.0000, 0.0000), Ca at (0.3333, 0.6667, 0.3168) and Y at (0.6667, 0.3333, 0.6664).

The value obtained for the raw total energy is -19.7316 eV per atom. Its energy of formation is 0.196 eV per atom.

12.
The following is a meta-GGA SCAN calculation of a PBEsol-optimized structure of LiZn3C, from Alexandria.

The structure belongs to space group Pm-3m (No. 221); the cell edges are 4.1174, 4.1174 and 4.1174 Å and the angles 90.00°, 90.00° and 90.00°. The asymmetric unit holds Li at (0.0000, 0.0000, 0.0000), Zn at (0.0000, 0.5000, 0.5000) and C at (0.5000, 0.5000, 0.5000).

The value obtained for the raw total energy is -10.0077 eV per atom. Its energy of formation is 0.599 eV per atom.

13.
The following is a meta-GGA SCAN calculation of a PBEsol-optimized structure of NaTi2PPb, from Alexandria.

The structure belongs to space group P4/mmm (No. 123); the cell edges are 4.7541, 4.7541 and 4.9444 Å and the angles 90.00°, 90.00° and 90.00°. The asymmetric unit holds Na at (0.0000, 0.0000, 0.0000), Ti at (0.0000, 0.5000, 0.0000), P at (0.5000, 0.5000, 0.5000) and Pb at (0.0000, 0.0000, 0.5000).

The value obtained for the raw total energy is -23.0015 eV per atom. Its energy of formation is 1.489 eV per atom.

14.
The following is a meta-GGA SCAN calculation of a PBEsol-optimized structure of MgIn2Te4, from Alexandria.

The structure belongs to space group I-4 (No. 82); the cell edges are 6.2246, 6.2246 and 12.4536 Å and the angles 90.00°, 90.00° and 90.00°. The asymmetric unit holds Mg at (0.0000, 0.0000, 0.0000), In at (0.0000, 0.0000, 0.5000), In at (0.0000, 0.5000, 0.2500) and Te at (0.2223, 0.2782, 0.8618).

The value obtained for the raw total energy is -32.0788 eV per atom.

15.
The following is a meta-GGA SCAN calculation of a PBEsol-optimized structure of Fe2SbOs, from Alexandria.

The structure belongs to space group P4/mmm (No. 123); the cell edges are 3.8076, 3.8076 and 3.8761 Å and the angles 90.00°, 90.00° and 90.00°. The asymmetric unit holds Fe at (0.0000, 0.5000, 0.0000), Sb at (0.0000, 0.0000, 0.5000) and Os at (0.5000, 0.5000, 0.5000).

The value obtained for the raw total energy is -36.1172 eV per atom.

16.
The following is a meta-GGA SCAN calculation of a PBEsol-optimized structure of Be2TeP, from Alexandria.

The structure belongs to space group I-4m2 (No. 119); the cell edges are 3.4592, 3.4592 and 10.6121 Å and the angles 90.00°, 90.00° and 90.00°. The asymmetric unit holds Be at (0.0000, 0.0000, 0.0000), Be at (0.0000, 0.5000, 0.2500), Te at (0.0000, 0.5000, 0.7500) and P at (0.0000, 0.0000, 0.5000).

The value obtained for the raw total energy is -13.4470 eV per atom. The calculation puts the polymorph energy (0 for the lowest one) at 0.8352 eV/atom.

17.
The following is a meta-GGA SCAN calculation of a PBEsol-optimized structure of In2HgI2, from Alexandria.

The structure belongs to space group I4/mmm (No. 139); the cell edges are 6.3801, 6.3801 and 8.6824 Å and the angles 90.00°, 90.00° and 90.00°. The asymmetric unit holds In at (0.0000, 0.0000, 0.1737), Hg at (0.0000, 0.0000, 0.5000) and I at (0.0000, 0.5000, 0.2500).

The value obtained for the raw total energy is -41.9849 eV per atom. The calculation puts the polymorph energy (0 for the lowest one) at 0.0000 eV/atom.

18.
The following is a meta-GGA SCAN calculation of a PBEsol-optimized structure of ScRe2Au, from Alexandria.

The structure belongs to space group R3m (No. 160, hexagonal axes); the cell edges are 2.8655, 2.8655 and 27.4374 Å and the angles 90.00°, 90.00° and 120.00°. The asymmetric unit holds Sc at (0.0000, 0.0000, 0.0000), Re at (0.0000, 0.0000, 0.2487), Re at (0.0000, 0.0000, 0.5079) and Au at (0.0000, 0.0000, 0.7533).

The value obtained for the raw total energy is -56.3461 eV per atom. The calculation puts the polymorph energy (0 for the lowest one) at 0.0000 eV/atom. Its energy of formation is 0.051 eV per atom.

19.
The following is a meta-GGA SCAN calculation of a PBEsol-optimized structure of SbPb3, from Alexandria.

The structure belongs to space group Imm2 (No. 44); the cell edges are 3.4407, 11.3500 and 5.9111 Å and the angles 90.00°, 90.00° and 90.00°. The asymmetric unit holds Sb at (0.0000, 0.0000, 0.0000), Pb at (0.0000, 0.2516, 0.6844) and Pb at (0.0000, 0.5000, 0.0072).

The value obtained for the raw total energy is -66.0833 eV per atom.

20.
The following is a meta-GGA SCAN calculation of a PBEsol-optimized structure of KRb2TbCl6, from Alexandria.

The structure belongs to space group Fm-3m (No. 225); the cell edges are 11.0551, 11.0551 and 11.0551 Å and the angles 90.00°, 90.00° and 90.00°. The asymmetric unit holds K at (0.0000, 0.0000, 0.0000), Rb at (0.2500, 0.2500, 0.2500), Tb at (0.0000, 0.0000, 0.5000) and Cl at (0.0000, 0.0000, 0.2641).

The value obtained for the raw total energy is -16.7770 eV per atom.